Below is a PBEsol-optimized structure of ZnAuBr2, with properties calculated at the SCAN level.

Results
* V: 120.4 Å³ per cell
* relative energy among the computed polymorphs: 0 meV/atom
* M_tot: 0.000 μB per formula unit
* formation energy without anion corrections: -0.230 eV per atom
* space group: Imm2
* DOS(E_F): 0.23 states/eV per atom
* final energy: -30.628 eV per atom

```
ZnAuBr2
1.0
-1.779 2.547 6.642
1.779 -2.547 6.642
1.779 2.547 -6.642
Zn Au Br
1 1 2
Direct
0.000 0.000 0.000
0.137 0.637 0.500
0.618 0.618 0.000
0.874 0.374 0.500
```

Below is a PBEsol-optimized structure of ZnAuBr2, with properties calculated at the SCAN level.

Results
* V: 94.6 Å³ per cell
* relative energy among the computed polymorphs: 254 meV/atom
* M_tot: 0.000 μB per formula unit
* formation energy without anion corrections: 0.024 eV per atom
* space group: Immm
* DOS(E_F): 0.18 states/eV per atom
* final energy: -30.374 eV per atom

```
ZnAuBr2
1.0
-1.892 3.310 3.776
1.892 -3.310 3.776
1.892 3.310 -3.776
Zn Au Br
1 1 2
Direct
0.000 0.000 0.000
0.500 0.500 0.000
0.241 0.741 0.500
0.759 0.259 0.500
```

Below is a PBEsol-optimized structure of ZnAu2Br, with properties calculated at the SCAN level.

Results
* V: 75.5 Å³ per cell
* relative energy among the computed polymorphs: 0 meV/atom
* M_tot: 0.000 μB per formula unit
* formation energy without anion corrections: 0.075 eV per atom
* space group: P4mm
* DOS(E_F): 0.29 states/eV per atom
* final energy: -42.747 eV per atom

```
ZnAu2Br
1.0
3.336 0.000 0.000
0.000 3.336 0.000
0.000 0.000 6.788
Zn Au Br
1 2 1
Direct
0.000 0.000 0.000
0.000 0.000 0.404
0.500 0.500 0.179
0.500 0.500 0.722
```

Below is a PBEsol-optimized structure of ZnAu2Br, with properties calculated at the SCAN level.

Results
* V: 73.9 Å³ per cell
* relative energy among the computed polymorphs: 37 meV/atom
* M_tot: 0.000 μB per formula unit
* formation energy without anion corrections: 0.112 eV per atom
* space group: P4/mmm
* DOS(E_F): 0.39 states/eV per atom
* final energy: -42.710 eV per atom

```
ZnAu2Br
1.0
3.295 0.000 0.000
0.000 3.295 0.000
0.000 0.000 6.804
Zn Au Br
1 2 1
Direct
0.000 0.000 0.000
0.500 0.500 0.202
0.500 0.500 0.798
0.000 0.000 0.500
```

Below is a PBEsol-optimized structure of ZrAuBr2, with properties calculated at the SCAN level.

Results
* V: 99.2 Å³ per cell
* relative energy among the computed polymorphs: 0 meV/atom
* M_tot: 0.000 μB per formula unit
* formation energy without anion corrections: -0.658 eV per atom
* space group: Imm2
* DOS(E_F): 0.31 states/eV per atom
* final energy: -35.351 eV per atom

```
ZrAuBr2
1.0
-1.601 2.446 6.330
1.601 -2.446 6.330
1.601 2.446 -6.330
Zr Au Br
1 1 2
Direct
0.000 0.000 0.000
0.180 0.680 0.500
0.515 0.515 0.000
0.826 0.326 0.500
```

Below is a PBEsol-optimized structure of Zr2AuBr, with properties calculated at the SCAN level.

Results
* V: 80.4 Å³ per cell
* M_tot: 0.000 μB per formula unit
* formation energy without anion corrections: -0.288 eV per atom
* space group: Pmmm
* DOS(E_F): 0.67 states/eV per atom
* final energy: -37.791 eV per atom

```
Zr2AuBr
1.0
3.741 0.000 0.000
0.000 4.189 0.000
0.000 0.000 5.130
Zr Au Br
2 1 1
Direct
0.000 0.000 0.000
0.500 0.000 0.500
0.000 0.500 0.500
0.500 0.500 0.000
```

Below is a PBEsol-optimized structure of Zr4AuBr, with properties calculated at the SCAN level.

Results
* V: 127.4 Å³ per cell
* M_tot: 0.000 μB per formula unit
* formation energy without anion corrections: 0.359 eV per atom
* space group: F-43m
* DOS(E_F): 1.19 states/eV per atom
* final energy: -34.876 eV per atom

```
Zr4AuBr
1.0
0.000 3.994 3.994
3.994 0.000 3.994
3.994 3.994 0.000
Zr Au Br
4 1 1
Direct
0.123 0.123 0.123
0.123 0.123 0.630
0.123 0.630 0.123
0.630 0.123 0.123
0.750 0.750 0.750
0.500 0.500 0.500
```

Below is a PBEsol-optimized structure of ZrAuBr2, with properties calculated at the SCAN level.

Results
* V: 83.7 Å³ per cell
* relative energy among the computed polymorphs: 478 meV/atom
* M_tot: 0.951 μB per formula unit
* formation energy without anion corrections: -0.180 eV per atom
* space group: I-4m2
* DOS(E_F): 0.55 states/eV per atom
* final energy: -34.874 eV per atom

```
ZrAuBr2
1.0
-2.265 2.265 4.075
2.265 -2.265 4.075
2.265 2.265 -4.075
Zr Au Br
1 1 2
Direct
0.000 0.000 0.000
0.750 0.250 0.500
0.250 0.750 0.500
0.500 0.500 0.000
```